The following is a PBE-GGA calculation of crystalline CeY2TmAs4 at its relaxed geometry, from Alexandria.

It has space group P2/m (No. 10), with a = 7.1489 Å, b = 4.1340 Å, c = 7.1551 Å, α = 90.00°, β = 109.42° and γ = 90.00°. Symmetry generates all atoms from Ce at (0.0000, 0.0000, 0.0000), Y at (0.0000, 0.5000, 0.5000), Y at (0.5000, 0.0000, 0.5000), Tm at (0.5000, 0.5000, 0.0000), As at (0.2534, 0.0000, 0.7524) and As at (0.2536, 0.5000, 0.2507).

The crystal system is monoclinic. The calculation puts the calculated total energy at -54.01 eV for the cell shown. The calculation puts the formation energy at -1.510 eV per atom.

The following is a PBE-GGA calculation of crystalline CeY2Tm3As6 at its relaxed geometry, from Alexandria.

It has space group C2/m (No. 12), with a = 17.8903 Å, b = 4.1139 Å, c = 8.2178 Å, α = 90.00°, β = 103.25° and γ = 90.00°. Symmetry generates all atoms from Ce at (0.0000, 0.0000, 0.0000), Y at (0.1679, 0.5000, 0.3358), Tm at (0.0000, 0.0000, 0.5000), Tm at (0.1672, 0.5000, 0.8318), As at (0.0007, 0.5000, 0.7455), As at (0.1656, 0.0000, 0.5857) and As at (0.1680, 0.0000, 0.0810).

The crystal system is monoclinic. The calculation puts the calculated total energy at -156.59 eV for the cell shown. The calculation puts the formation energy at -1.510 eV per atom.

Copy entry 1 word for word.
The following is a PBE-GGA calculation of crystalline CeY2TmAs4 at its relaxed geometry, from Alexandria.

It has space group P2/m (No. 10), with a = 7.1489 Å, b = 4.1340 Å, c = 7.1551 Å, α = 90.00°, β = 109.42° and γ = 90.00°. Symmetry generates all atoms from Ce at (0.0000, 0.0000, 0.0000), Y at (0.0000, 0.5000, 0.5000), Y at (0.5000, 0.0000, 0.5000), Tm at (0.5000, 0.5000, 0.0000), As at (0.2534, 0.0000, 0.7524) and As at (0.2536, 0.5000, 0.2507).

The crystal system is monoclinic. The calculation puts the calculated total energy at -54.01 eV for the cell shown. The calculation puts the formation energy at -1.510 eV per atom.